A relaxed structure of Sm2ScTa2Rh5. Source: Alexandria, functional PBE-GGA.

Unit cell a=10.7485 b=10.7485 c=3.3124 alpha=90.00 beta=90.00 gamma=90.00
Last column: nearest neighbours and their distance in Å.
Space group P4/mbm (No. 127)
Symmetry-distinct sites (fractional):
Sm: 0.1722 0.3278 0.0000 (multiplicity 4)  1 Ta 2.92, 6 Rh 3.10-3.20
Sc: 0.0000 0.0000 0.0000 (multiplicity 2)  8 Rh 2.78
Ta: 0.1358 0.6358 0.0000 (multiplicity 4)  6 Rh 2.58-2.65
Rh: 0.0000 0.5000 0.5000 (multiplicity 2)  4 Ta 2.65
Rh: 0.0494 0.7987 0.5000 (multiplicity 8)  2 Ta 2.58, 2 Sc 2.78

Output
**Calculated total energy**: -162.02 eV per cell
**Mass density**: 10.6 g/cm3